First-principles (GGA-PBE) data for an optimized crystal structure of PI4, as listed in Alexandria.

Values from the calculation:
* VASP energy: -2.01 eV/atom
* space-group type: Pm-3m, No. 221

abc: 5.5740 5.5740 5.5740
angles: 90.00 90.00 90.00
Closest atoms and distances in Å follow each position.
Fractional positions:
I (0.5000, 0.5000, 0.0000)  2 P 2.79
I (0.0000, 0.5000, 0.5000)  2 P 2.79
I (0.0000, 0.0000, 0.0000)  12 I 3.94
I (0.5000, 0.0000, 0.5000)  2 P 2.79
P (0.5000, 0.5000, 0.5000)  6 I 2.79



First-principles (GGA-PBE) data for an optimized crystal structure of PI, as listed in Alexandria.

Values from the calculation:
* VASP energy: -3.00 eV/atom
* space-group type: Fddd, No. 70

abc: 5.5656 23.8763 11.1540
angles: 90.00 90.00 90.00
Closest atoms and distances in Å follow each position.
Fractional positions:
I (0.2500, 0.4355, 0.7500)  2 P 2.74
I (0.2500, 0.9355, 0.2500)  2 P 2.74
I (0.2500, 0.5645, 0.2500)  2 P 2.74
I (0.7500, 0.4355, 0.2500)  2 P 2.74
I (0.0000, 0.3145, 0.5000)  2 P 2.74
I (0.5000, 0.8145, 0.5000)  2 P 2.74
I (0.0000, 0.6855, 0.5000)  2 P 2.74
I (0.0000, 0.1855, 0.0000)  2 P 2.74
I (0.7500, 0.0645, 0.2500)  2 P 2.74
I (0.2500, 0.0645, 0.7500)  2 P 2.74
I (0.5000, 0.3145, 0.0000)  2 P 2.74
I (0.0000, 0.8145, 0.0000)  2 P 2.74
I (0.5000, 0.1855, 0.5000)  2 P 2.74
I (0.7500, 0.9355, 0.7500)  2 P 2.74
I (0.7500, 0.5645, 0.7500)  2 P 2.74
I (0.5000, 0.6855, 0.0000)  2 P 2.74
P (0.7500, 0.7500, 0.6603)  1 P 2.00
P (0.5000, 0.5000, 0.9103)  1 P 2.00
P (0.0000, 0.0000, 0.0897)  1 P 2.00
P (0.5000, 0.0000, 0.4103)  1 P 2.00
P (0.7500, 0.2500, 0.3397)  1 P 2.00
P (0.7500, 0.7500, 0.8397)  1 P 2.00
P (0.0000, 0.5000, 0.5897)  1 P 2.00
P (0.5000, 0.0000, 0.5897)  1 P 2.00
P (0.2500, 0.2500, 0.8397)  1 P 2.00
P (0.0000, 0.5000, 0.4103)  1 P 2.00
P (0.2500, 0.7500, 0.3397)  1 P 2.00
P (0.5000, 0.5000, 0.0897)  1 P 2.00
P (0.2500, 0.2500, 0.6603)  1 P 2.00
P (0.7500, 0.2500, 0.1603)  1 P 2.00
P (0.0000, 0.0000, 0.9103)  1 P 2.00
P (0.2500, 0.7500, 0.1603)  1 P 2.00



First-principles (GGA-PBE) data for an optimized crystal structure of PI, as listed in Alexandria.

Values from the calculation:
* VASP energy: -2.31 eV/atom
* space-group type: F-43m, No. 216

abc: 6.6754 6.6754 6.6754
angles: 90.00 90.00 90.00
Closest atoms and distances in Å follow each position.
Fractional positions:
I (0.0000, 0.5000, 0.5000)  4 P 2.89
I (0.5000, 0.5000, 0.0000)  4 P 2.89
I (0.5000, 0.0000, 0.5000)  4 P 2.89
I (0.0000, 0.0000, 0.0000)  4 P 2.89
P (0.2500, 0.7500, 0.7500)  4 I 2.89
P (0.7500, 0.2500, 0.7500)  4 I 2.89
P (0.7500, 0.7500, 0.2500)  4 I 2.89
P (0.2500, 0.2500, 0.2500)  4 I 2.89



First-principles (GGA-PBE) data for an optimized crystal structure of PI4, as listed in Alexandria.

Values from the calculation:
* VASP energy: -2.27 eV/atom
* space-group type: C2/c, No. 15

abc: 6.8292 9.7702 9.7702
angles: 80.40 106.58 106.58
Closest atoms and distances in Å follow each position.
Fractional positions:
I (0.4463, 0.5409, 0.2490)  1 P 2.52
I (0.9463, 0.2490, 0.5409)  1 P 2.52
I (0.8528, 0.7547, 0.0140)  1 P 2.53
I (0.6472, 0.9860, 0.2453)  1 P 2.53
I (0.1472, 0.2453, 0.9860)  1 P 2.53
I (0.5537, 0.4591, 0.7510)  1 P 2.52
I (0.0537, 0.7510, 0.4591)  1 P 2.52
I (0.3528, 0.0140, 0.7547)  1 P 2.53
P (0.2500, 0.2418, 0.7582)  4 I 2.52-2.53
P (0.7500, 0.7582, 0.2418)  4 I 2.52-2.53